1.
This record from Alexandria describes an optimized crystal structure of SrIn6Hg2. The functional is PBE.

Results
- Formation energy: -0.10 eV/atom
- Uncorrected energy: -2.176 eV/atom
- ρ: 7.72 Mg/m³
- N(E_F): 3.33 states/eV/f.u.
- Total magnetization: 0.000 Bohr magnetons per cell

Cell lengths 8.950, 8.950, 3.610 Å; angles 100.93, 100.93, 64.01 degrees
Sites, in units of the cell vectors:
Sr: 0.000 0.000 0.000
In: 0.016 0.352 0.687
In: 0.329 0.671 0.500
In: 0.352 0.016 0.687
In: 0.648 0.984 0.313
In: 0.671 0.329 0.500
In: 0.984 0.648 0.313
Hg: 0.361 0.361 0.858
Hg: 0.639 0.639 0.142


2.
This record from Alexandria describes an optimized crystal structure of Ta2CoHg. The functional is PBE.

Results
- Formation energy: 0.28 eV/atom
- Uncorrected energy: -7.502 eV/atom
- ρ: 14.62 Mg/m³
- N(E_F): 3.59 states/eV/f.u.
- Total magnetization: 0.233 Bohr magnetons per cell

Cell lengths 8.802, 8.802, 8.802 Å; angles 20.12, 20.12, 20.12 degrees
Sites, in units of the cell vectors:
Ta: 0.000 0.000 0.000
Ta: 0.246 0.246 0.246
Co: 0.512 0.512 0.512
Hg: 0.762 0.762 0.762


3.
This record from Alexandria describes an optimized crystal structure of Be5Cu3. The functional is PBE.

Results
- Formation energy: -0.08 eV/atom
- Uncorrected energy: -3.949 eV/atom
- ρ: 5.25 Mg/m³
- N(E_F): 1.25 states/eV/f.u.
- Total magnetization: 0.000 Bohr magnetons per cell

Cell lengths 2.659, 2.659, 10.550 Å; angles 90.00, 90.00, 90.00 degrees
Sites, in units of the cell vectors:
Be: 0.000 0.000 0.000
Be: 0.000 0.000 0.256
Be: 0.000 0.000 0.744
Be: 0.500 0.500 0.372
Be: 0.500 0.500 0.628
Cu: 0.000 0.000 0.500
Cu: 0.500 0.500 0.131
Cu: 0.500 0.500 0.869


4.
This record from Alexandria describes an optimized crystal structure of LaCeSm2. The functional is PBE.

Results
- Formation energy: 0.06 eV/atom
- Uncorrected energy: -5.012 eV/atom
- ρ: 7.25 Mg/m³
- N(E_F): 7.54 states/eV/f.u.
- Total magnetization: 0.499 Bohr magnetons per cell

Cell lengths 3.581, 3.581, 10.360 Å; angles 90.00, 90.00, 90.00 degrees
Sites, in units of the cell vectors:
La: 0.000 0.000 0.000
Ce: 0.000 0.000 0.500
Sm: 0.500 0.500 0.266
Sm: 0.500 0.500 0.734


5.
This record from Alexandria describes an optimized crystal structure of GaHg2HPb. The functional is PBE.

Results
- Uncorrected energy: -1.984 eV/atom
- ρ: 10.21 Mg/m³
- N(E_F): 1.82 states/eV/f.u.
- Total magnetization: 0.000 Bohr magnetons per cell

Cell lengths 5.624, 5.624, 3.492 Å; angles 90.00, 90.00, 90.00 degrees
Sites, in units of the cell vectors:
Ga: 0.000 0.000 0.000
Hg: 0.000 0.500 0.000
Hg: 0.500 0.000 0.000
H: 0.000 0.000 0.500
Pb: 0.500 0.500 0.500


6.
This record from Alexandria describes an optimized crystal structure of NaCI2O. The functional is PBE.

Results
- Uncorrected energy: -2.033 eV/atom
- ρ: 3.85 Mg/m³
- Energy relative to the elements, uncorrected: 1.69 eV/atom
- N(E_F): 11.53 states/eV/f.u.
- Total magnetization: 0.117 Bohr magnetons per cell

Cell lengths 5.679, 5.679, 4.077 Å; angles 90.00, 90.00, 90.00 degrees
Sites, in units of the cell vectors:
Na: 0.000 0.000 0.000
C: 0.500 0.500 0.500
I: 0.000 0.500 0.000
I: 0.500 0.000 0.000
O: 0.000 0.000 0.500


7.
This record from Alexandria describes an optimized crystal structure of Nd7SnGe5. The functional is PBE.

Results
- Formation energy: -0.55 eV/atom
- Uncorrected energy: -5.200 eV/atom
- ρ: 6.90 Mg/m³
- N(E_F): 10.08 states/eV/f.u.
- Total magnetization: 0.000 Bohr magnetons per cell

Cell lengths 8.238, 8.238, 8.238 Å; angles 135.83, 93.15, 103.17 degrees
Sites, in units of the cell vectors:
Nd: 0.000 0.000 0.000
Nd: 0.346 0.662 0.684
Nd: 0.386 0.386 0.000
Nd: 0.438 0.101 0.337
Nd: 0.764 0.101 0.663
Nd: 0.858 0.358 0.500
Nd: 0.978 0.662 0.316
Sn: 0.690 0.690 0.000
Ge: 0.130 0.180 0.527
Ge: 0.130 0.603 0.951
Ge: 0.367 0.867 0.500
Ge: 0.652 0.180 0.049
Ge: 0.652 0.603 0.473


8.
This record from Alexandria describes an optimized crystal structure of ScAlCd. The functional is PBE.

Results
- Formation energy: -0.24 eV/atom
- Uncorrected energy: -3.907 eV/atom
- ρ: 4.99 Mg/m³
- N(E_F): 1.96 states/eV/f.u.
- Total magnetization: 0.000 Bohr magnetons per cell

Cell lengths 5.109, 3.178, 7.724 Å; angles 90.00, 102.14, 90.00 degrees
Sites, in units of the cell vectors:
Sc: 0.237 0.000 0.158
Sc: 0.763 0.000 0.842
Al: 0.274 0.500 0.838
Al: 0.726 0.500 0.162
Cd: 0.000 0.000 0.500
Cd: 0.500 0.500 0.500


9.
This record from Alexandria describes an optimized crystal structure of Si3WCl. The functional is PBE.

Results
- Uncorrected energy: -4.581 eV/atom
- ρ: 5.76 Mg/m³
- Energy relative to the elements, uncorrected: 1.63 eV/atom
- N(E_F): 3.83 states/eV/f.u.
- Total magnetization: 1.666 Bohr magnetons per cell

Cell lengths 4.439, 4.439, 4.439 Å; angles 90.00, 90.00, 90.00 degrees
Sites, in units of the cell vectors:
Si: 0.000 0.000 0.500
Si: 0.000 0.500 0.000
Si: 0.500 0.000 0.000
W: 0.500 0.500 0.500
Cl: 0.000 0.000 0.000


10.
This record from Alexandria describes an optimized crystal structure of TiOs3. The functional is PBE.

Results
- Formation energy: -0.14 eV/atom
- Uncorrected energy: -10.541 eV/atom
- ρ: 17.57 Mg/m³
- N(E_F): 4.28 states/eV/f.u.
- Total magnetization: 0.000 Bohr magnetons per cell

Cell lengths 3.881, 3.881, 3.881 Å; angles 90.00, 90.00, 90.00 degrees
Sites, in units of the cell vectors:
Ti: 0.000 0.000 0.000
Os: 0.000 0.500 0.500
Os: 0.500 0.000 0.500
Os: 0.500 0.500 0.000


11.
This record from Alexandria describes an optimized crystal structure of H3RuAu. The functional is PBE.

Results
- Uncorrected energy: -3.726 eV/atom
- ρ: 11.07 Mg/m³
- N(E_F): 2.59 states/eV/f.u.
- Total magnetization: 0.265 Bohr magnetons per cell

Cell lengths 3.561, 3.561, 3.561 Å; angles 90.00, 90.00, 90.00 degrees
Sites, in units of the cell vectors:
H: 0.000 0.000 0.500
H: 0.000 0.500 0.000
H: 0.500 0.000 0.000
Ru: 0.500 0.500 0.500
Au: 0.000 0.000 0.000


12.
This record from Alexandria describes an optimized crystal structure of Ga3CuNi. The functional is PBE.

Results
- Formation energy: 0.51 eV/atom
- Uncorrected energy: -3.286 eV/atom
- ρ: 5.85 Mg/m³
- N(E_F): 1.74 states/eV/f.u.
- Total magnetization: 0.000 Bohr magnetons per cell

Cell lengths 4.547, 4.547, 4.547 Å; angles 90.00, 90.00, 90.00 degrees
Sites, in units of the cell vectors:
Ga: 0.000 0.000 0.500
Ga: 0.000 0.500 0.000
Ga: 0.500 0.000 0.000
Cu: 0.000 0.000 0.000
Ni: 0.500 0.500 0.500


13.
This record from Alexandria describes an optimized crystal structure of CaAuS2N. The functional is PBE.

Results
- Uncorrected energy: -4.217 eV/atom
- ρ: 5.25 Mg/m³
- Energy relative to the elements, uncorrected: 0.15 eV/atom
- N(E_F): 1.58 states/eV/f.u.
- Total magnetization: 0.000 Bohr magnetons per cell

Cell lengths 5.087, 5.087, 3.851 Å; angles 90.00, 90.00, 90.00 degrees
Sites, in units of the cell vectors:
Ca: 0.000 0.000 0.000
Au: 0.500 0.500 0.500
S: 0.000 0.500 0.500
S: 0.500 0.000 0.500
N: 0.500 0.500 0.000


14.
This record from Alexandria describes an optimized crystal structure of LaPIN2. The functional is PBE.

Results
- Uncorrected energy: -4.984 eV/atom
- ρ: 6.00 Mg/m³
- Energy relative to the elements, uncorrected: 0.72 eV/atom
- N(E_F): 2.91 states/eV/f.u.
- Total magnetization: 0.000 Bohr magnetons per cell

Cell lengths 4.228, 4.228, 5.025 Å; angles 90.00, 90.00, 90.00 degrees
Sites, in units of the cell vectors:
La: 0.000 0.000 0.000
P: 0.500 0.500 0.500
I: 0.500 0.500 0.000
N: 0.000 0.500 0.500
N: 0.500 0.000 0.500


15.
This record from Alexandria describes an optimized crystal structure of CrTc. The functional is PBE.

Results
- Formation energy: 0.07 eV/atom
- Uncorrected energy: -9.928 eV/atom
- ρ: 9.46 Mg/m³
- N(E_F): 2.21 states/eV/f.u.
- Total magnetization: 0.000 Bohr magnetons per cell

Cell lengths 4.865, 4.865, 6.204 Å; angles 109.08, 109.08, 34.92 degrees
Sites, in units of the cell vectors:
Cr: 0.000 0.000 0.000
Cr: 0.342 0.342 0.145
Cr: 0.658 0.658 0.855
Tc: 0.000 0.000 0.500
Tc: 0.323 0.323 0.684
Tc: 0.677 0.677 0.316


16.
This record from Alexandria describes an optimized crystal structure of Tb8Pm2Tm3. The functional is PBE.

Results
- Formation energy: 0.15 eV/atom
- Uncorrected energy: -4.462 eV/atom
- ρ: 8.10 Mg/m³
- N(E_F): 19.85 states/eV/f.u.
- Total magnetization: 0.000 Bohr magnetons per cell

Cell lengths 3.510, 11.682, 20.688 Å; angles 90.00, 90.01, 90.00 degrees
Sites, in units of the cell vectors:
Tb: 0.000 0.046 0.072
Tb: 0.000 0.127 0.784
Tb: 0.000 0.373 0.284
Tb: 0.000 0.454 0.572
Tb: 0.000 0.546 0.428
Tb: 0.000 0.627 0.716
Tb: 0.000 0.873 0.216
Tb: 0.000 0.954 0.928
Tb: 0.499 0.053 0.342
Tb: 0.499 0.447 0.842
Tb: 0.500 0.209 0.947
Tb: 0.500 0.291 0.447
Tb: 0.500 0.709 0.553
Tb: 0.500 0.791 0.053
Tb: 0.501 0.553 0.158
Tb: 0.501 0.947 0.658
Pm: 0.001 0.179 0.600
Pm: 0.001 0.321 0.100
Pm: 0.999 0.679 0.900
Pm: 0.999 0.821 0.400
Tm: 0.499 0.645 0.299
Tm: 0.499 0.855 0.799
Tm: 0.500 0.000 0.500
Tm: 0.500 0.500 0.000
Tm: 0.501 0.145 0.201
Tm: 0.501 0.355 0.701


17.
This record from Alexandria describes an optimized crystal structure of LiNi2Sb. The functional is PBE.

Results
- Uncorrected energy: -4.184 eV/atom
- ρ: 6.38 Mg/m³
- Energy relative to the elements, uncorrected: 0.22 eV/atom
- N(E_F): 0.54 states/eV/f.u.
- Total magnetization: 0.000 Bohr magnetons per cell

Cell lengths 7.453, 7.453, 7.453 Å; angles 24.80, 24.80, 24.80 degrees
Sites, in units of the cell vectors:
Li: 0.000 0.000 0.000
Ni: 0.248 0.248 0.248
Ni: 0.752 0.752 0.752
Sb: 0.500 0.500 0.500


18.
This record from Alexandria describes an optimized crystal structure of Ho5Te2Ru. The functional is PBE.

Results
- Uncorrected energy: -5.576 eV/atom
- ρ: 9.02 Mg/m³
- Energy relative to the elements, uncorrected: -0.77 eV/atom
- N(E_F): 5.38 states/eV/f.u.
- Total magnetization: 0.000 Bohr magnetons per cell

Cell lengths 8.100, 12.808, 4.194 Å; angles 90.00, 90.00, 90.00 degrees
Sites, in units of the cell vectors:
Ho: 0.000 0.000 0.000
Ho: 0.159 0.315 0.000
Ho: 0.172 0.579 0.500
Ho: 0.328 0.079 0.500
Ho: 0.341 0.815 0.000
Ho: 0.500 0.500 0.000
Ho: 0.659 0.185 0.000
Ho: 0.672 0.921 0.500
Ho: 0.828 0.421 0.500
Ho: 0.841 0.685 0.000
Te: 0.044 0.822 0.500
Te: 0.456 0.322 0.500
Te: 0.544 0.678 0.500
Te: 0.956 0.178 0.500
Ru: 0.000 0.500 0.000
Ru: 0.500 0.000 0.000


19.
This record from Alexandria describes an optimized crystal structure of Ga2AsBr. The functional is PBE.

Results
- Uncorrected energy: -3.055 eV/atom
- ρ: 5.60 Mg/m³
- Energy relative to the elements, uncorrected: 0.04 eV/atom
- N(E_F): 0.87 states/eV/f.u.
- Total magnetization: 0.000 Bohr magnetons per cell

Cell lengths 4.977, 4.977, 4.977 Å; angles 60.00, 60.00, 60.00 degrees
Sites, in units of the cell vectors:
Ga: 0.250 0.250 0.250
Ga: 0.750 0.750 0.750
As: 0.000 0.000 0.000
Br: 0.500 0.500 0.500


20.
This record from Alexandria describes an optimized crystal structure of La3TbTm. The functional is PBE.

Results
- Formation energy: 0.06 eV/atom
- Uncorrected energy: -4.719 eV/atom
- ρ: 7.20 Mg/m³
- N(E_F): 7.28 states/eV/f.u.
- Total magnetization: 0.000 Bohr magnetons per cell

Cell lengths 10.342, 10.342, 6.705 Å; angles 101.14, 101.14, 82.17 degrees
Sites, in units of the cell vectors:
La: 0.087 0.722 0.566
La: 0.112 0.490 0.849
La: 0.239 0.364 0.350
La: 0.278 0.913 0.934
La: 0.364 0.239 0.850
La: 0.490 0.112 0.349
La: 0.510 0.888 0.651
La: 0.636 0.761 0.150
La: 0.722 0.087 0.066
La: 0.761 0.636 0.650
La: 0.888 0.510 0.151
La: 0.913 0.278 0.434
Tb: 0.309 0.691 0.250
Tb: 0.434 0.566 0.750
Tb: 0.566 0.434 0.250
Tb: 0.691 0.309 0.750
Tm: 0.029 0.169 0.936
Tm: 0.169 0.029 0.436
Tm: 0.831 0.971 0.564
Tm: 0.971 0.831 0.064